*a*
# ZnCoCuPb

An optimized crystal structure of ZnCoCuPb (PBE, OQMD via LeMat-Bulk).

The total magnetization comes out at 0.0 μB/f.u. As for the crystal system: cubic. The density comes out at 10.7 g cm⁻³.

abc: 6.252 6.252 6.252
angles: 90.00 90.00 90.00
Atoms (fractional coordinates):
Zn1 0.000 0.000 0.000
Zn2 0.000 0.500 0.500
Zn3 0.500 0.000 0.500
Zn4 0.500 0.500 0.000
Co1 0.250 0.250 0.750
Co2 0.250 0.750 0.250
Co3 0.750 0.250 0.250
Co4 0.750 0.750 0.750
Cu1 0.250 0.250 0.250
Cu2 0.250 0.750 0.750
Cu3 0.750 0.250 0.750
Cu4 0.750 0.750 0.250
Pb1 0.000 0.000 0.500
Pb2 0.000 0.500 0.000
Pb3 0.500 0.000 0.000
Pb4 0.500 0.500 0.500

*b*
# ZnCoCuPb

An optimized crystal structure of ZnCoCuPb (PBE, OQMD via LeMat-Bulk).

The total magnetization comes out at 1.1 μB/f.u. As for the crystal system: cubic. The density comes out at 10.4 g cm⁻³.

abc: 6.316 6.316 6.316
angles: 90.00 90.00 90.00
Atoms (fractional coordinates):
Zn1 0.000 0.000 0.000
Zn2 0.000 0.500 0.500
Zn3 0.500 0.000 0.500
Zn4 0.500 0.500 0.000
Co1 0.250 0.250 0.250
Co2 0.250 0.750 0.750
Co3 0.750 0.250 0.750
Co4 0.750 0.750 0.250
Cu1 0.000 0.000 0.500
Cu2 0.000 0.500 0.000
Cu3 0.500 0.000 0.000
Cu4 0.500 0.500 0.500
Pb1 0.250 0.250 0.750
Pb2 0.250 0.750 0.250
Pb3 0.750 0.250 0.250
Pb4 0.750 0.750 0.750

*a* is favored, and the nearest alternative lies 15.7 kJ/mol of atoms above it.

*a*
# PuCoCu

An optimized crystal structure of PuCoCu (PBE, OQMD via LeMat-Bulk).

The total magnetization comes out at 0.0 μB/f.u. As for the crystal system: cubic. The density comes out at 11.4 g cm⁻³.

abc: 5.981 5.981 5.981
angles: 90.00 90.00 90.00
Atoms (fractional coordinates):
Pu1 0.000 0.000 0.000
Pu2 0.000 0.500 0.500
Pu3 0.500 0.000 0.500
Pu4 0.500 0.500 0.000
Co1 0.250 0.250 0.250
Co2 0.250 0.750 0.750
Co3 0.750 0.250 0.750
Co4 0.750 0.750 0.250
Cu1 0.250 0.250 0.750
Cu2 0.250 0.750 0.250
Cu3 0.750 0.250 0.250
Cu4 0.750 0.750 0.750

*b*
# PuCoCu

An optimized crystal structure of PuCoCu (PBE, OQMD via LeMat-Bulk).

The total magnetization comes out at 4.3 μB/f.u. As for the crystal system: cubic. The density comes out at 11.4 g cm⁻³.

abc: 5.981 5.981 5.981
angles: 90.00 90.00 90.00
Atoms (fractional coordinates):
Pu1 0.000 0.000 0.000
Pu2 0.000 0.500 0.500
Pu3 0.500 0.000 0.500
Pu4 0.500 0.500 0.000
Co1 0.000 0.000 0.500
Co2 0.000 0.500 0.000
Co3 0.500 0.000 0.000
Co4 0.500 0.500 0.500
Cu1 0.250 0.250 0.750
Cu2 0.250 0.750 0.250
Cu3 0.750 0.250 0.250
Cu4 0.750 0.750 0.750

*b* is favored, and the nearest alternative lies 79.9 kJ/mol of atoms above it.

*a*
# RbCoCu

An optimized crystal structure of RbCoCu (PBE, OQMD via LeMat-Bulk).

The total magnetization comes out at 2.3 μB/f.u. As for the crystal system: cubic. The density comes out at 4.1 g cm⁻³.

abc: 6.961 6.961 6.961
angles: 90.00 90.00 90.00
Atoms (fractional coordinates):
Rb1 0.000 0.000 0.000
Rb2 0.000 0.500 0.500
Rb3 0.500 0.000 0.500
Rb4 0.500 0.500 0.000
Co1 0.000 0.000 0.500
Co2 0.000 0.500 0.000
Co3 0.500 0.000 0.000
Co4 0.500 0.500 0.500
Cu1 0.250 0.250 0.750
Cu2 0.250 0.750 0.250
Cu3 0.750 0.250 0.250
Cu4 0.750 0.750 0.750

*b*
# RbCoCu

An optimized crystal structure of RbCoCu (PBE, OQMD via LeMat-Bulk).

The total magnetization comes out at 2.4 μB/f.u. As for the crystal system: cubic. The density comes out at 3.6 g cm⁻³.

abc: 7.240 7.240 7.240
angles: 90.00 90.00 90.00
Atoms (fractional coordinates):
Rb1 0.000 0.000 0.000
Rb2 0.000 0.500 0.500
Rb3 0.500 0.000 0.500
Rb4 0.500 0.500 0.000
Co1 0.250 0.250 0.750
Co2 0.250 0.750 0.250
Co3 0.750 0.250 0.250
Co4 0.750 0.750 0.750
Cu1 0.250 0.250 0.250
Cu2 0.250 0.750 0.750
Cu3 0.750 0.250 0.750
Cu4 0.750 0.750 0.250

*a* is favored, and the nearest alternative lies 49.0 kJ/mol of atoms above it.

*a*
# ZnCoCuRe

An optimized crystal structure of ZnCoCuRe (PBE, OQMD via LeMat-Bulk).

The total magnetization comes out at 1.6 μB/f.u. As for the crystal system: cubic. The density comes out at 12.2 g cm⁻³.

abc: 5.877 5.877 5.877
angles: 90.00 90.00 90.00
Atoms (fractional coordinates):
Zn1 0.000 0.000 0.000
Zn2 0.000 0.500 0.500
Zn3 0.500 0.000 0.500
Zn4 0.500 0.500 0.000
Co1 0.250 0.250 0.250
Co2 0.250 0.750 0.750
Co3 0.750 0.250 0.750
Co4 0.750 0.750 0.250
Cu1 0.000 0.000 0.500
Cu2 0.000 0.500 0.000
Cu3 0.500 0.000 0.000
Cu4 0.500 0.500 0.500
Re1 0.250 0.250 0.750
Re2 0.250 0.750 0.250
Re3 0.750 0.250 0.250
Re4 0.750 0.750 0.750

*b*
# ZnCoCuRe

An optimized crystal structure of ZnCoCuRe (PBE, OQMD via LeMat-Bulk).

The total magnetization comes out at 0.8 μB/f.u. As for the crystal system: cubic. The density comes out at 12.3 g cm⁻³.

abc: 5.865 5.865 5.865
angles: 90.00 90.00 90.00
Atoms (fractional coordinates):
Zn1 0.000 0.000 0.000
Zn2 0.000 0.500 0.500
Zn3 0.500 0.000 0.500
Zn4 0.500 0.500 0.000
Co1 0.250 0.250 0.250
Co2 0.250 0.750 0.750
Co3 0.750 0.250 0.750
Co4 0.750 0.750 0.250
Cu1 0.250 0.250 0.750
Cu2 0.250 0.750 0.250
Cu3 0.750 0.250 0.250
Cu4 0.750 0.750 0.750
Re1 0.000 0.000 0.500
Re2 0.000 0.500 0.000
Re3 0.500 0.000 0.000
Re4 0.500 0.500 0.500

*b* is favored, and the nearest alternative lies 17.9 kJ/mol of atoms above it.